# BeSbP2 (PBE-GGA, relaxed)
data_BeSbP2
_chemical_formula_sum 'Be1 Sb1 P2'
_symmetry_space_group_name_H-M 'P 1 2/m 1'
_symmetry_Int_Tables_number 10
_cell_length_a 4.252
_cell_length_b 3.625
_cell_length_c 4.738
_cell_angle_alpha 90.00
_cell_angle_beta 104.94
_cell_angle_gamma 90.00
loop_
_symmetry_equiv_pos_as_xyz
'x,y,z'
'-x,-y,-z'
'-x,y,-z'
'x,-y,z'
loop_
_atom_site_label
_atom_site_type_symbol
_atom_site_fract_x
_atom_site_fract_y
_atom_site_fract_z
Be1 Be 0.000 0.000 0.000
Sb1 Sb 0.500 0.000 0.500
P1 P 0.261 0.500 0.839
# M_tot in μB/atom: 0.000
# Formation energy without anion corrections in eV per formula unit: 0.76
# Polymorph energy (0 for the lowest one) in eV per atom: 0.154
# DOS at the Fermi energy in states/eV per cell: 1.876


# BeSbP2 (PBE-GGA, relaxed)
data_BeSbP2
_chemical_formula_sum 'Be2 Sb2 P4'
_symmetry_space_group_name_H-M 'C m m m'
_symmetry_Int_Tables_number 65
_symmetry_space_group_name_Hall '-C 2 2'
_cell_length_a 5.208
_cell_length_b 7.080
_cell_length_c 3.744
_cell_angle_alpha 90.00
_cell_angle_beta 90.00
_cell_angle_gamma 90.00
loop_
_atom_site_label
_atom_site_type_symbol
_atom_site_fract_x
_atom_site_fract_y
_atom_site_fract_z
Be1 Be 0.000 0.000 0.000
Sb1 Sb 0.000 0.500 0.000
P1 P 0.250 0.250 0.500
# M_tot in μB/atom: 0.000
# Formation energy without anion corrections in eV per formula unit: 2.90
# Polymorph energy (0 for the lowest one) in eV per atom: 0.689
# DOS at the Fermi energy in states/eV per cell: 3.986


# BeSbP2 (PBE-GGA, relaxed)
data_BeSbP2
_chemical_formula_sum 'Be1 Sb1 P2'
_symmetry_space_group_name_H-M 'P 4/m m m'
_symmetry_Int_Tables_number 123
_symmetry_space_group_name_Hall '-P 4 2'
_cell_length_a 3.022
_cell_length_b 3.022
_cell_length_c 8.744
_cell_angle_alpha 90.00
_cell_angle_beta 90.00
_cell_angle_gamma 90.00
loop_
_atom_site_label
_atom_site_type_symbol
_atom_site_fract_x
_atom_site_fract_y
_atom_site_fract_z
Be1 Be 0.000 0.000 0.000
Sb1 Sb 0.000 0.000 0.500
P1 P 0.500 0.500 0.124
# M_tot in μB/atom: 0.000
# Formation energy without anion corrections in eV per formula unit: 1.49
# Polymorph energy (0 for the lowest one) in eV per atom: 0.336
# DOS at the Fermi energy in states/eV per cell: 2.378


# BeSbP2 (PBE-GGA, relaxed)
data_BeSbP2
_chemical_formula_sum 'Be2 Sb2 P4'
_symmetry_space_group_name_H-M 'I -4 m 2'
_symmetry_Int_Tables_number 119
_symmetry_space_group_name_Hall 'I -4 -2'
_cell_length_a 4.453
_cell_length_b 4.453
_cell_length_c 6.684
_cell_angle_alpha 90.00
_cell_angle_beta 90.00
_cell_angle_gamma 90.00
loop_
_atom_site_label
_atom_site_type_symbol
_atom_site_fract_x
_atom_site_fract_y
_atom_site_fract_z
Be1 Be 0.000 0.000 0.000
Sb1 Sb 0.000 0.500 0.250
P1 P 0.000 0.000 0.500
P2 P 0.000 0.500 0.750
# M_tot in μB/atom: 0.000
# Formation energy without anion corrections in eV per formula unit: 3.07
# Polymorph energy (0 for the lowest one) in eV per atom: 0.731
# DOS at the Fermi energy in states/eV per cell: 4.314